(1)
Here is a relaxed ScTl2Cr crystal from the Alexandria database. Energies are from PBE.

The structure belongs to space group F-43m (No. 216); the cell edges are 7.214, 7.214 and 7.214 Å and the angles 90.00°, 90.00° and 90.00°. Symmetry generates all atoms from Sc at (0.000, 0.000, 0.000), Tl at (0.000, 0.000, 0.500), Tl at (0.250, 0.250, 0.250) and Cr at (0.250, 0.250, 0.750).

The formation enthalpy at 0 K is 1.4 eV per formula unit. The crystal system is cubic. The calculation puts the electronic total energy at -76.98 eV per cell. The value obtained for the density of states at the Fermi level is 2.71 states/eV/f.u. As for the total magnetic moment: 4.84 μB per formula unit.

(2)
Here is a relaxed Sc2TlCr crystal from the Alexandria database. Energies are from PBE.

The structure belongs to space group I-4m2 (No. 119); the cell edges are 4.261, 4.261 and 9.255 Å and the angles 90.00°, 90.00° and 90.00°. Symmetry generates all atoms from Sc at (0.000, 0.000, 0.000), Sc at (0.000, 0.500, 0.250), Tl at (0.000, 0.500, 0.750) and Cr at (0.000, 0.000, 0.500).

The formation enthalpy at 0 K is 0.3 eV per formula unit. The crystal system is tetragonal. Its relative energy among the computed polymorphs is 100 meV per atom. The calculation puts the electronic total energy at -48.62 eV per cell. The value obtained for the density of states at the Fermi level is 3.94 states/eV/f.u. As for the total magnetic moment: 2.55 μB per formula unit.

(3)
Here is a relaxed Sc2TlCr crystal from the Alexandria database. Energies are from PBE.

The structure belongs to space group P4/mmm (No. 123); the cell edges are 4.575, 4.575 and 4.066 Å and the angles 90.00°, 90.00° and 90.00°. Symmetry generates all atoms from Sc at (0.000, 0.500, 0.000), Tl at (0.000, 0.000, 0.500) and Cr at (0.500, 0.500, 0.500).

The formation enthalpy at 0 K is 0.1 eV per formula unit. The crystal system is tetragonal. Its relative energy among the computed polymorphs is 50 meV per atom. The calculation puts the electronic total energy at -24.51 eV per cell. The value obtained for the density of states at the Fermi level is 4.21 states/eV/f.u. As for the total magnetic moment: 3.73 μB per formula unit.